[1]
# PmH3

A geometry-optimized PmH3 structure (PBEsol, Alexandria).

E_tot (eV/atom): -4.34
Density (g cm⁻³): 6.7

Geometry as CIF:
```
data_PmH3
_chemical_formula_sum 'Pm4 H12'
_cell_length_a 5.273
_cell_length_b 5.273
_cell_length_c 5.273
_cell_angle_alpha 90.00
_cell_angle_beta 90.00
_cell_angle_gamma 90.00
_space_group_name_H-M_alt 'F m -3 m'
_space_group_IT_number 225
_space_group_name_Hall '-F 4 2 3'
loop_
_atom_site_label
_atom_site_type_symbol
_atom_site_fract_x
_atom_site_fract_y
_atom_site_fract_z
Pm1 Pm 0.000 0.000 0.000
H1 H 0.000 0.000 0.500
H2 H 0.250 0.250 0.250
```

[2]
# Ta2RhAu

A geometry-optimized Ta2RhAu structure (PBEsol, Alexandria).

E_tot (eV/atom): -9.59
Formation energy (meV/atom): -296
Density (g cm⁻³): 16.8

Geometry as CIF:
```
data_Ta2RhAu
_chemical_formula_sum 'Ta2 Rh1 Au1'
_cell_length_a 3.291
_cell_length_b 3.291
_cell_length_c 6.055
_cell_angle_alpha 90.00
_cell_angle_beta 90.00
_cell_angle_gamma 90.00
_space_group_name_H-M_alt 'P 4 m m'
_space_group_IT_number 99
loop_
_space_group_symop_operation_xyz
'x,y,z'
'-y,x,z'
'-x,-y,z'
'y,-x,z'
'-x,y,z'
'y,x,z'
'x,-y,z'
'-y,-x,z'
loop_
_atom_site_label
_atom_site_type_symbol
_atom_site_fract_x
_atom_site_fract_y
_atom_site_fract_z
Ta1 Ta 0.000 0.000 0.000
Ta2 Ta 0.500 0.500 0.285
Rh1 Rh 0.500 0.500 0.790
Au1 Au 0.000 0.000 0.526
```

[3]
# LiBe4Zn

A geometry-optimized LiBe4Zn structure (PBEsol, Alexandria).

E_tot (eV/atom): -3.28
Formation energy (meV/atom): -26
Density (g cm⁻³): 3.1

Geometry as CIF:
```
data_LiBe4Zn
_chemical_formula_sum 'Li4 Be16 Zn4'
_cell_length_a 6.119
_cell_length_b 6.119
_cell_length_c 6.119
_cell_angle_alpha 90.00
_cell_angle_beta 90.00
_cell_angle_gamma 90.00
_space_group_name_H-M_alt 'F -4 3 m'
_space_group_IT_number 216
_space_group_name_Hall 'F -4 2 3'
loop_
_atom_site_label
_atom_site_type_symbol
_atom_site_fract_x
_atom_site_fract_y
_atom_site_fract_z
Li1 Li 0.000 0.000 0.000
Be1 Be 0.125 0.125 0.375
Zn1 Zn 0.250 0.250 0.750
```

> Among the records above, which one has the highest E_tot?

LiBe4Zn